Record 1
The following is a GGA-PBE calculation of an optimized crystal structure of MnSb2IrI, from Alexandria via LeMat-Bulk.

Cell lengths 5.1339, 5.1339, 5.6920 Å; angles 90.00, 90.00, 90.00 degrees
With the nearest neighbours (Å) after each atom.
Sites, in units of the cell vectors:
Mn1 0.0000 0.0000 0.0000  4 I 3.63, 8 Sb 3.83
Sb1 0.0000 0.5000 0.5000  2 Ir 2.57
Sb2 0.5000 0.0000 0.5000  2 Ir 2.57
Ir1 0.5000 0.5000 0.5000  4 Sb 2.57, 2 I 2.85
I1 0.5000 0.5000 0.0000  2 Ir 2.85

Computed properties:
For the polymorph energy (0 for the lowest one), the calculation gives 0.0 kJ/mol of atoms. For the formation energy without anion corrections, the calculation gives 764 meV per atom.

***

Record 2
The following is a GGA-PBE calculation of an optimized crystal structure of NdSmErIn, from Alexandria via LeMat-Bulk.

Cell lengths 7.8209, 7.8209, 7.8209 Å; angles 90.00, 90.00, 90.00 degrees
With the nearest neighbours (Å) after each atom.
Sites, in units of the cell vectors:
Nd1 0.0000 0.0000 0.0000  4 Er 3.39, 4 In 3.39
Nd2 0.0000 0.5000 0.5000  4 Er 3.39, 4 In 3.39
Nd3 0.5000 0.0000 0.5000  4 Er 3.39, 4 In 3.39
Nd4 0.5000 0.5000 0.0000  4 Er 3.39, 4 In 3.39
Sm1 0.0000 0.0000 0.5000  4 In 3.39, 4 Er 3.39
Sm2 0.0000 0.5000 0.0000  4 In 3.39, 4 Er 3.39
Sm3 0.5000 0.0000 0.0000  4 In 3.39, 4 Er 3.39
Sm4 0.5000 0.5000 0.5000  4 In 3.39, 4 Er 3.39
Er1 0.2500 0.2500 0.2500  4 Nd 3.39, 4 Sm 3.39
Er2 0.2500 0.7500 0.7500  4 Nd 3.39, 4 Sm 3.39
Er3 0.7500 0.2500 0.7500  4 Nd 3.39, 4 Sm 3.39
Er4 0.7500 0.7500 0.2500  4 Nd 3.39, 4 Sm 3.39
In1 0.2500 0.2500 0.7500  4 Nd 3.39, 4 Sm 3.39
In2 0.2500 0.7500 0.2500  4 Nd 3.39, 4 Sm 3.39
In3 0.7500 0.2500 0.2500  4 Nd 3.39, 4 Sm 3.39
In4 0.7500 0.7500 0.7500  4 Nd 3.39, 4 Sm 3.39

Computed properties:
For the polymorph energy (0 for the lowest one), the calculation gives 0.0 kJ/mol of atoms. The value obtained for the energy of formation is -14.69 kJ per mole of atoms.

***

Record 3
The following is a GGA-PBE calculation of an optimized crystal structure of Sm2GdBi, from Alexandria via LeMat-Bulk.

Cell lengths 4.9610, 4.9610, 4.8947 Å; angles 90.00, 90.00, 90.00 degrees
With the nearest neighbours (Å) after each atom.
Sites, in units of the cell vectors:
Sm1 0.0000 0.5000 0.0000  4 Bi 3.48, 4 Gd 3.48, 4 Sm 3.51
Sm2 0.5000 0.0000 0.0000  4 Bi 3.48, 4 Gd 3.48, 4 Sm 3.51
Gd1 0.0000 0.0000 0.5000  8 Sm 3.48, 4 Bi 3.51
Bi1 0.5000 0.5000 0.5000  8 Sm 3.48, 4 Gd 3.51

Computed properties:
For the polymorph energy (0 for the lowest one), the calculation gives 0.0 kJ/mol of atoms. The value obtained for the energy of formation is -38.80 kJ per mole of atoms.

***

Record 4
The following is a GGA-PBE calculation of an optimized crystal structure of BeFe2GeH, from Alexandria via LeMat-Bulk.

Cell lengths 3.7371, 3.7371, 3.1670 Å; angles 90.00, 90.00, 90.00 degrees
With the nearest neighbours (Å) after each atom.
Sites, in units of the cell vectors:
Be1 0.0000 0.0000 0.0000  2 H 1.58
Fe1 0.0000 0.5000 0.5000  2 H 1.87
Fe2 0.5000 0.0000 0.5000  2 H 1.87
Ge1 0.5000 0.5000 0.0000  8 Fe 2.45, 4 Be 2.64
H1 0.0000 0.0000 0.5000  2 Be 1.58

Computed properties:
The calculation puts the total DFT energy (no corrections) at -5.739 eV per atom.

***

Record 5
The following is a GGA-PBE calculation of an optimized crystal structure of Rb2AgF6, from Alexandria via LeMat-Bulk.

Cell lengths 6.3597, 8.0278, 8.0801 Å; angles 90.00, 118.98, 90.00 degrees
With the nearest neighbours (Å) after each atom.
Sites, in units of the cell vectors:
Rb1 0.1804 0.0654 0.3101  6 F 2.78-3.10
Rb2 0.1804 0.4346 0.8101  6 F 2.78-3.10
Rb3 0.8196 0.5654 0.1899  6 F 2.78-3.10
Rb4 0.8196 0.9346 0.6899  6 F 2.78-3.10
Ag1 0.5000 0.0000 0.0000  6 F 1.97-2.15
Ag2 0.5000 0.5000 0.5000  6 F 1.97-2.15
F1 0.1865 0.1267 0.9711  1 Ag 2.15
F2 0.1865 0.3733 0.4711  1 Ag 2.15
F3 0.3293 0.7137 0.4580  1 Ag 1.97
F4 0.3293 0.7863 0.9580  1 Ag 1.97
F5 0.3682 0.0241 0.7242  1 Ag 1.97
F6 0.3682 0.4759 0.2242  1 Ag 1.97
F7 0.6318 0.5241 0.7758  1 Ag 1.97
F8 0.6318 0.9759 0.2758  1 Ag 1.97
F9 0.6707 0.2137 0.0420  1 Ag 1.97
F10 0.6707 0.2863 0.5420  1 Ag 1.97
F11 0.8135 0.6267 0.5289  1 Ag 2.15
F12 0.8135 0.8733 0.0289  1 Ag 2.15

Computed properties:
For the formation energy without anion corrections, the calculation gives -1807 meV per atom.

***

Record 6
The following is a GGA-PBE calculation of an optimized crystal structure of Tb2Pr3In3, from Alexandria via LeMat-Bulk.

Cell lengths 8.9064, 8.9064, 3.4547 Å; angles 90.00, 90.00, 120.00 degrees
With the nearest neighbours (Å) after each atom.
Sites, in units of the cell vectors:
Tb1 0.3333 0.6667 0.0000  6 In 3.25, 3 Pr 3.45, 2 Tb 3.45
Tb2 0.6667 0.3333 0.0000  6 In 3.25, 3 Pr 3.45, 2 Tb 3.45
Pr1 0.0000 0.2421 0.0000  2 Tb 3.45, 4 Pr 3.45-3.73, 6 In 3.48-3.72
Pr2 0.2421 0.0000 0.0000  2 Tb 3.45, 4 Pr 3.45-3.73, 6 In 3.48-3.72
Pr3 0.7579 0.7579 0.0000  2 Tb 3.45, 4 Pr 3.45-3.73, 6 In 3.48-3.72
In1 0.0000 0.6121 0.5000  4 Tb 3.25, 2 In 3.45, 4 Pr 3.48
In2 0.3879 0.3879 0.5000  4 Tb 3.25, 2 In 3.45, 4 Pr 3.48
In3 0.6121 0.0000 0.5000  4 Tb 3.25, 2 In 3.45, 4 Pr 3.48

Computed properties:
For the polymorph energy (0 for the lowest one), the calculation gives 2.6 kJ/mol of atoms. The value obtained for the energy of formation is -31.60 kJ per mole of atoms.

***

Record 7
The following is a GGA-PBE calculation of an optimized crystal structure of CuRh2O5, from Alexandria via LeMat-Bulk.

Cell lengths 5.3944, 5.3944, 9.7480 Å; angles 90.00, 90.00, 136.86 degrees
With the nearest neighbours (Å) after each atom.
Sites, in units of the cell vectors:
Cu1 0.1827 0.8173 0.7500  2 O 1.88
Cu2 0.8173 0.1827 0.2500  2 O 1.88
Rh1 0.1395 0.8605 0.0676  6 O 1.95-2.14
Rh2 0.1395 0.8605 0.4324  6 O 1.95-2.14
Rh3 0.8605 0.1395 0.5676  6 O 1.95-2.14
Rh4 0.8605 0.1395 0.9324  6 O 1.95-2.14
O1 0.0499 0.9501 0.6133  1 Cu 1.88, 2 Rh 1.95-1.98
O2 0.0499 0.9501 0.8867  1 Cu 1.88, 2 Rh 1.95-1.98
O3 0.2348 0.7652 0.2500  2 Rh 2.02, 2 Cu 2.15
O4 0.3081 0.6919 0.5672  3 Rh 2.05-2.14, 1 Cu 2.18
O5 0.3081 0.6919 0.9328  3 Rh 2.05-2.14, 1 Cu 2.18
O6 0.6919 0.3081 0.0672  3 Rh 2.05-2.14, 1 Cu 2.18
O7 0.6919 0.3081 0.4328  3 Rh 2.05-2.14, 1 Cu 2.18
O8 0.7652 0.2348 0.7500  2 Rh 2.02, 2 Cu 2.15
O9 0.9501 0.0499 0.1133  1 Cu 1.88, 2 Rh 1.95-1.98
O10 0.9501 0.0499 0.3867  1 Cu 1.88, 2 Rh 1.95-1.98

Computed properties:
For the formation energy without anion corrections, the calculation gives -530 meV per atom.

***

Record 8
The following is a GGA-PBE calculation of an optimized crystal structure of LiTi2N3, from Alexandria via LeMat-Bulk.

Cell lengths 6.0778, 6.0778, 4.1565 Å; angles 90.00, 90.00, 62.36 degrees
With the nearest neighbours (Å) after each atom.
Sites, in units of the cell vectors:
Li1 0.1481 0.8519 0.7500  5 N 2.10-2.29
Li2 0.8519 0.1481 0.2500  5 N 2.10-2.29
Ti1 0.1683 0.5076 0.2500  5 N 1.88-2.09
Ti2 0.4924 0.8317 0.2500  5 N 1.88-2.09
Ti3 0.5076 0.1683 0.7500  5 N 1.88-2.09
Ti4 0.8317 0.4924 0.7500  5 N 1.88-2.09
N1 0.1701 0.4656 0.7500  4 Ti 1.99-2.09
N2 0.1993 0.8007 0.2500  2 Ti 1.88
N3 0.4656 0.1701 0.2500  4 Ti 1.99-2.09
N4 0.5344 0.8299 0.7500  4 Ti 1.99-2.09
N5 0.8007 0.1993 0.7500  2 Ti 1.88
N6 0.8299 0.5344 0.2500  4 Ti 1.99-2.09

Computed properties:
For the polymorph energy (0 for the lowest one), the calculation gives 0.0 kJ/mol of atoms. For the formation energy without anion corrections, the calculation gives -1353 meV per atom.

***

Number 1: density of states at the Fermi level 6.01 states/eV per cell. Number 2: density of states at the Fermi level 28.18 states/eV per cell. Number 3: density of states at the Fermi level 4.96 states/eV per cell. Number 4: density of states at the Fermi level 3.69 states/eV per cell. Number 5: density of states at the Fermi level 1.50 states/eV per cell. Number 6: density of states at the Fermi level 11.44 states/eV per cell. Number 7: density of states at the Fermi level 15.16 states/eV per cell. Number 8: density of states at the Fermi level 0.65 states/eV per cell.